Entry from Alexandria: AgHg2I after structural relaxation (PBE-GGA).

Cell: 4.914 4.928 7.810 Å, 71.75 71.69 60.24°
Positions (direct):
Ag (0.000, 0.000, 0.000)
Hg (0.134, 0.141, 0.596)
Hg (0.863, 0.867, 0.410)
I (0.663, 0.661, 0.013)

- formation energy from raw total energies (eV per atom) = -0.099
- polymorph energy (0 for the lowest one) (eV per formula unit) = 0.00
- total DFT energy (no corrections) (eV/cell) = -5.40
- space group = P1

***

Entry from Alexandria: AgHg2I after structural relaxation (PBE-GGA).

Cell: 5.455 7.031 7.285 Å, 92.47 109.28 90.32°
Positions (direct):
Ag (0.000, 0.000, 0.000)
Ag (0.054, 0.947, 0.397)
Hg (0.051, 0.614, 0.881)
Hg (0.263, 0.280, 0.283)
Hg (0.553, 0.877, 0.099)
Hg (0.636, 0.409, 0.057)
I (0.393, 0.653, 0.522)
I (0.869, 0.176, 0.644)

- formation energy from raw total energies (eV per atom) = -0.090
- polymorph energy (0 for the lowest one) (eV per formula unit) = 0.04
- total DFT energy (no corrections) (eV/cell) = -10.73
- space group = P1

***

Entry from Alexandria: Ag2Hg3I3 after structural relaxation (PBE-GGA).

Cell: 10.330 10.330 10.330 Å, 89.41 89.41 89.41°
Positions (direct):
Ag (0.238, 0.238, 0.238)
Ag (0.239, 0.286, 0.757)
Ag (0.243, 0.761, 0.714)
Ag (0.286, 0.757, 0.239)
Ag (0.714, 0.243, 0.761)
Ag (0.757, 0.239, 0.286)
Ag (0.761, 0.714, 0.243)
Ag (0.762, 0.762, 0.762)
Hg (0.024, 0.800, 0.295)
Hg (0.195, 0.504, 0.310)
Hg (0.200, 0.705, 0.976)
Hg (0.295, 0.024, 0.800)
Hg (0.310, 0.195, 0.504)
Hg (0.496, 0.690, 0.805)
Hg (0.504, 0.310, 0.195)
Hg (0.690, 0.805, 0.496)
Hg (0.705, 0.976, 0.200)
Hg (0.800, 0.295, 0.024)
Hg (0.805, 0.496, 0.690)
Hg (0.976, 0.200, 0.705)
I (0.006, 0.127, 0.347)
I (0.127, 0.347, 0.006)
I (0.153, 0.513, 0.630)
I (0.347, 0.006, 0.127)
I (0.370, 0.847, 0.487)
I (0.487, 0.370, 0.847)
I (0.513, 0.630, 0.153)
I (0.630, 0.153, 0.513)
I (0.653, 0.994, 0.873)
I (0.847, 0.487, 0.370)
I (0.873, 0.653, 0.994)
I (0.994, 0.873, 0.653)

- formation energy from raw total energies (eV per atom) = -0.088
- total DFT energy (no corrections) (eV/cell) = -47.86
- density of states at the Fermi level (states/eV per atom) = 0.5031
- space group = R-3

***

Entry from Alexandria: AgHg2I after structural relaxation (PBE-GGA).

Cell: 9.674 9.674 5.627 Å, 90.00 90.00 90.00°
Positions (direct):
Ag (0.000, 0.000, 0.000)
Ag (0.000, 0.500, 0.250)
Ag (0.500, 0.000, 0.750)
Ag (0.500, 0.500, 0.500)
Hg (0.182, 0.250, 0.125)
Hg (0.250, 0.682, 0.375)
Hg (0.250, 0.818, 0.875)
Hg (0.318, 0.250, 0.625)
Hg (0.682, 0.750, 0.625)
Hg (0.750, 0.182, 0.875)
Hg (0.750, 0.318, 0.375)
Hg (0.818, 0.750, 0.125)
I (0.000, 0.000, 0.500)
I (0.000, 0.500, 0.750)
I (0.500, 0.000, 0.250)
I (0.500, 0.500, 0.000)

- formation energy from raw total energies (eV per atom) = -0.032
- polymorph energy (0 for the lowest one) (eV per formula unit) = 0.27
- total DFT energy (no corrections) (eV/cell) = -20.53
- density of states at the Fermi level (states/eV per atom) = 0.0000
- space group = I-42d

***

Entry from Alexandria: AgHg2I after structural relaxation (PBE-GGA).

Cell: 4.404 15.580 7.431 Å, 90.00 90.00 90.00°
Positions (direct):
Ag (0.000, 0.179, 0.000)
Ag (0.000, 0.821, 0.500)
Ag (0.500, 0.321, 0.500)
Ag (0.500, 0.679, 0.000)
Hg (0.000, 0.012, 0.481)
Hg (0.000, 0.397, 0.741)
Hg (0.000, 0.603, 0.241)
Hg (0.000, 0.988, 0.981)
Hg (0.500, 0.103, 0.241)
Hg (0.500, 0.488, 0.981)
Hg (0.500, 0.512, 0.481)
Hg (0.500, 0.897, 0.741)
I (0.000, 0.320, 0.242)
I (0.000, 0.680, 0.742)
I (0.500, 0.180, 0.742)
I (0.500, 0.820, 0.242)

- formation energy from raw total energies (eV per atom) = -0.097
- polymorph energy (0 for the lowest one) (eV per formula unit) = 0.01
- total DFT energy (no corrections) (eV/cell) = -21.58
- density of states at the Fermi level (states/eV per atom) = 0.0805
- space group = Cmc2_1

***

Entry from Alexandria: AgHg3I after structural relaxation (PBE-GGA).

Cell: 7.359 7.359 8.986 Å, 124.19 124.19 67.64°
Positions (direct):
Ag (0.250, 0.250, 0.000)
Ag (0.750, 0.750, 0.000)
Hg (0.029, 0.116, 0.368)
Hg (0.064, 0.565, 0.803)
Hg (0.435, 0.936, 0.197)
Hg (0.468, 0.386, 0.632)
Hg (0.614, 0.532, 0.368)
Hg (0.884, 0.971, 0.632)
I (0.507, 0.008, 0.803)
I (0.992, 0.493, 0.197)

- formation energy from raw total energies (eV per atom) = -0.067
- polymorph energy (0 for the lowest one) (eV per formula unit) = 0.00
- total DFT energy (no corrections) (eV/cell) = -11.29
- space group = C2

***

Entry from Alexandria: AgHgI3 after structural relaxation (PBE-GGA).

Cell: 7.927 7.927 12.235 Å, 94.59 94.59 32.55°
Positions (direct):
Ag (0.167, 0.167, 0.380)
Ag (0.833, 0.833, 0.620)
Hg (0.423, 0.423, 0.221)
Hg (0.577, 0.577, 0.779)
I (0.140, 0.140, 0.912)
I (0.355, 0.355, 0.432)
I (0.388, 0.388, 0.761)
I (0.612, 0.612, 0.239)
I (0.645, 0.645, 0.568)
I (0.860, 0.860, 0.088)

- formation energy from raw total energies (eV per atom) = -0.252
- polymorph energy (0 for the lowest one) (eV per formula unit) = 0.00
- total DFT energy (no corrections) (eV/cell) = -18.12
- space group = C2/m

***

Entry from Alexandria: AgHgI3 after structural relaxation (PBE-GGA).

Cell: 12.505 12.505 7.458 Å, 90.00 90.00 159.70°
Positions (direct):
Ag (0.189, 0.811, 0.500)
Ag (0.811, 0.189, 0.000)
Hg (0.389, 0.611, 0.475)
Hg (0.611, 0.389, 0.975)
I (0.051, 0.949, 0.828)
I (0.287, 0.713, 0.278)
I (0.379, 0.621, 0.849)
I (0.621, 0.379, 0.349)
I (0.713, 0.287, 0.778)
I (0.949, 0.051, 0.328)

- formation energy from raw total energies (eV per atom) = -0.250
- polymorph energy (0 for the lowest one) (eV per formula unit) = 0.01
- total DFT energy (no corrections) (eV/cell) = -18.11
- space group = Cmc2_1

***

Entry from Alexandria: Ag2HgI6 after structural relaxation (PBE-GGA).

Cell: 9.493 9.493 8.320 Å, 97.97 97.97 76.01°
Positions (direct):
Ag (0.146, 0.323, 0.428)
Ag (0.323, 0.146, 0.928)
Ag (0.677, 0.854, 0.072)
Ag (0.854, 0.677, 0.572)
Hg (0.378, 0.622, 0.750)
Hg (0.622, 0.378, 0.250)
I (0.060, 0.236, 0.071)
I (0.126, 0.628, 0.440)
I (0.236, 0.060, 0.571)
I (0.251, 0.463, 0.917)
I (0.372, 0.874, 0.060)
I (0.463, 0.251, 0.417)
I (0.537, 0.749, 0.583)
I (0.628, 0.126, 0.940)
I (0.749, 0.537, 0.083)
I (0.764, 0.940, 0.429)
I (0.874, 0.372, 0.560)
I (0.940, 0.764, 0.929)

- formation energy from raw total energies (eV per atom) = -0.097
- polymorph energy (0 for the lowest one) (eV per formula unit) = 0.83
- total DFT energy (no corrections) (eV/cell) = -32.35
- density of states at the Fermi level (states/eV per atom) = 0.4951
- space group = C2/c

***

Entry from Alexandria: AgHg2I after structural relaxation (PBE-GGA).

Cell: 4.075 4.075 24.427 Å, 90.00 90.00 120.00°
Positions (direct):
Ag (0.000, 0.000, 0.000)
Ag (0.333, 0.667, 0.667)
Ag (0.667, 0.333, 0.333)
Hg (0.000, 0.000, 0.405)
Hg (0.000, 0.000, 0.594)
Hg (0.333, 0.667, 0.072)
Hg (0.333, 0.667, 0.261)
Hg (0.667, 0.333, 0.739)
Hg (0.667, 0.333, 0.927)
I (0.000, 0.000, 0.830)
I (0.333, 0.667, 0.497)
I (0.667, 0.333, 0.163)

- formation energy from raw total energies (eV per atom) = 0.017
- polymorph energy (0 for the lowest one) (eV per formula unit) = 0.47
- total DFT energy (no corrections) (eV/cell) = -14.81
- density of states at the Fermi level (states/eV per atom) = 0.1669
- space group = R3m

***

Entry from Alexandria: AgHg3I after structural relaxation (PBE-GGA).

Cell: 5.489 5.489 5.489 Å, 90.00 90.00 90.00°
Positions (direct):
Ag (0.000, 0.000, 0.000)
Hg (0.000, 0.000, 0.500)
Hg (0.000, 0.500, 0.000)
Hg (0.500, 0.000, 0.000)
I (0.500, 0.500, 0.500)

- formation energy from raw total energies (eV per atom) = 0.014
- polymorph energy (0 for the lowest one) (eV per formula unit) = 0.41
- total DFT energy (no corrections) (eV/cell) = -5.24
- density of states at the Fermi level (states/eV per atom) = 0.3369
- space group = Pm-3m

***

Entry from Alexandria: AgHg2I after structural relaxation (PBE-GGA).

Cell: 3.348 3.348 37.167 Å, 90.00 90.00 120.00°
Positions (direct):
Ag (0.000, 0.000, 0.000)
Ag (0.333, 0.667, 0.667)
Ag (0.667, 0.333, 0.333)
Hg (0.000, 0.000, 0.076)
Hg (0.000, 0.000, 0.924)
Hg (0.333, 0.667, 0.590)
Hg (0.333, 0.667, 0.743)
Hg (0.667, 0.333, 0.257)
Hg (0.667, 0.333, 0.410)
I (0.000, 0.000, 0.500)
I (0.333, 0.667, 0.167)
I (0.667, 0.333, 0.833)

- formation energy from raw total energies (eV per atom) = 0.228
- polymorph energy (0 for the lowest one) (eV per formula unit) = 1.31
- total DFT energy (no corrections) (eV/cell) = -12.28
- density of states at the Fermi level (states/eV per atom) = 0.3884
- space group = R-3m

***

no.,total magnetic moment (μB per atom)
1,0.00
2,0.00
3,0.00
4,0.00
5,0.00
6,0.00
7,0.00
8,0.00
9,0.00
10,0.00
11,0.00
12,0.00